! PBE LiY2PtO6, optimized geometry; values from VASP
&SYSTEM
  ibrav = 0, nat = 20, ntyp = 4
/
ATOMIC_SPECIES
Li 6.94 Li.upf
Y 88.91 Y.upf
Pt 195.08 Pt.upf
O 16.00 O.upf
CELL_PARAMETERS angstrom
5.3392 0.0000 0.0000
0.0000 5.7639 0.0000
-5.2014 0.0000 7.6145
ATOMIC_POSITIONS angstrom
Li 0.0000 0.0000 0.0000
Li -2.6007 2.8820 3.8072
Y -2.6935 0.4701 5.6908
Y -0.0928 2.4119 1.8836
Y 0.2306 3.3521 5.7309
Y 2.8313 5.2938 1.9237
Pt 0.0689 0.0000 3.8072
Pt 2.6696 2.8820 0.0000
O -1.5932 1.0660 3.3612
O -4.1940 1.8160 7.1684
O -0.8696 4.0479 3.3271
O -3.4703 4.5980 7.1343
O 0.6906 0.2488 1.9225
O -1.9101 2.6331 5.7298
O 2.0479 3.1308 1.8847
O -0.5528 5.5151 5.6920
O 3.6081 1.1660 0.4802
O 1.0074 1.7160 4.2874
O 4.3317 3.9479 0.4461
O 1.7310 4.6980 4.2533
! **Spin magnetization**: 0.00 μB/cell
! **Space-group type**: P2_1/c, No. 14
! **ρ**: 6.74 g cm⁻³
! **N(E_F)**: 7.589 states/eV/f.u.
! **ΔE_f (raw)**: -2.25 eV per atom